VASP calculation (GGA+U) on a relaxed structure of KMn3F9.

a b c (Å): 3.9501 7.6526 7.6526
angles (deg): 120.00 90.00 90.00
Last column: nearest neighbours and their distance in Å.
Positions (direct):
1 F 0.0000 0.5000 0.0000  2 Mn 1.98
2 F 0.5000 0.7973 0.2027  2 Mn 2.01
3 F 0.5000 0.2027 0.4054  2 Mn 2.01
4 F 0.5000 0.2027 0.7973  2 Mn 2.01
5 F 0.5000 0.7973 0.5946  2 Mn 2.01
6 F 0.0000 0.5000 0.5000  2 Mn 1.98
7 F 0.0000 0.0000 0.5000  2 Mn 1.98
8 F 0.5000 0.5946 0.7973  2 Mn 2.01
9 F 0.5000 0.4054 0.2027  2 Mn 2.01
10 Mn 0.5000 0.5000 0.5000  6 F 1.98-2.01
11 Mn 0.5000 0.0000 0.5000  6 F 1.98-2.01
12 Mn 0.5000 0.5000 0.0000  6 F 1.98-2.01
13 K 0.0000 0.0000 0.0000  12 F 3.33

Summary:
The mass density is 3.11 g/cm³. For the final energy, the calculation gives -5.693 eV/atom. The calculation puts the magnetization at 1.0000 μB/atom.